Entry 1:
DFT (SCAN) results for a crystal of MnIrAu2 relaxed with PBEsol.

Unit cell a=2.8135 b=4.7009 c=9.3892 alpha=90.00 beta=90.00 gamma=90.00
Last column: nearest neighbours and their distance in Å.
Positions (direct):
Mn 0.0000 0.0000 0.0000  4 Au 2.67, 6 Mn 2.74-2.81
Mn 0.5000 0.5000 0.0000  4 Au 2.67, 6 Mn 2.74-2.81
Ir 0.0000 0.0000 0.5000  6 Ir 2.74-2.81, 4 Au 2.81
Ir 0.5000 0.5000 0.5000  6 Ir 2.74-2.81, 4 Au 2.81
Au 0.0000 0.5000 0.2412  2 Mn 2.67, 6 Au 2.74-2.81, 2 Ir 2.81
Au 0.0000 0.5000 0.7588  2 Mn 2.67, 6 Au 2.74-2.81, 2 Ir 2.81
Au 0.5000 0.0000 0.2412  2 Mn 2.67, 6 Au 2.74-2.81, 2 Ir 2.81
Au 0.5000 0.0000 0.7588  2 Mn 2.67, 6 Au 2.74-2.81, 2 Ir 2.81

Results
- ΔE_f: 0.17 eV per atom
- SG: No. 65
- Total energy: -56.744 eV/atom


Entry 2:
DFT (SCAN) results for a crystal of Mo2Ir2Au relaxed with PBEsol.

Unit cell a=3.8806 b=3.8806 c=11.3392 alpha=90.00 beta=90.00 gamma=90.00
Last column: nearest neighbours and their distance in Å.
Positions (direct):
Mo 0.0000 0.5000 0.2500  4 Ir 2.53, 4 Mo 2.74
Mo 0.0000 0.5000 0.7500  4 Ir 2.53, 4 Mo 2.74
Mo 0.5000 0.0000 0.2500  4 Ir 2.53, 4 Mo 2.74
Mo 0.5000 0.0000 0.7500  4 Ir 2.53, 4 Mo 2.74
Ir 0.0000 0.0000 0.1068  1 Ir 2.42, 4 Mo 2.53
Ir 0.0000 0.0000 0.8932  1 Ir 2.42, 4 Mo 2.53
Ir 0.5000 0.5000 0.3932  1 Ir 2.42, 4 Mo 2.53
Ir 0.5000 0.5000 0.6068  1 Ir 2.42, 4 Mo 2.53
Au 0.0000 0.0000 0.5000  8 Ir 3.00
Au 0.5000 0.5000 0.0000  8 Ir 3.00

Results
- ΔE_f: 0.21 eV per atom
- SG: No. 139
- Total energy: -56.016 eV/atom


Entry 3:
DFT (SCAN) results for a crystal of MoIr2Au relaxed with PBEsol.

Unit cell a=6.2475 b=6.2475 c=6.2475 alpha=90.00 beta=90.00 gamma=90.00
Last column: nearest neighbours and their distance in Å.
Positions (direct):
Mo 0.0000 0.0000 0.0000  8 Ir 2.71
Mo 0.0000 0.5000 0.5000  8 Ir 2.71
Mo 0.5000 0.0000 0.5000  8 Ir 2.71
Mo 0.5000 0.5000 0.0000  8 Ir 2.71
Ir 0.2500 0.2500 0.2500  4 Au 2.71, 4 Mo 2.71
Ir 0.2500 0.2500 0.7500  4 Mo 2.71, 4 Au 2.71
Ir 0.2500 0.7500 0.2500  4 Mo 2.71, 4 Au 2.71
Ir 0.2500 0.7500 0.7500  4 Au 2.71, 4 Mo 2.71
Ir 0.7500 0.2500 0.2500  4 Mo 2.71, 4 Au 2.71
Ir 0.7500 0.2500 0.7500  4 Au 2.71, 4 Mo 2.71
Ir 0.7500 0.7500 0.2500  4 Au 2.71, 4 Mo 2.71
Ir 0.7500 0.7500 0.7500  4 Mo 2.71, 4 Au 2.71
Au 0.0000 0.0000 0.5000  8 Ir 2.71
Au 0.0000 0.5000 0.0000  8 Ir 2.71
Au 0.5000 0.0000 0.0000  8 Ir 2.71
Au 0.5000 0.5000 0.5000  8 Ir 2.71

Results
- ΔE_f: 0.33 eV per atom
- SG: No. 225
- Total energy: -61.226 eV/atom


Entry 4:
DFT (SCAN) results for a crystal of MoIrAu relaxed with PBEsol.

Unit cell a=6.0099 b=6.0099 c=6.0099 alpha=90.00 beta=90.00 gamma=90.00
Last column: nearest neighbours and their distance in Å.
Positions (direct):
Mo 0.0000 0.0000 0.0000  4 Ir 2.60, 4 Au 2.60
Mo 0.0000 0.5000 0.5000  4 Ir 2.60, 4 Au 2.60
Mo 0.5000 0.0000 0.5000  4 Ir 2.60, 4 Au 2.60
Mo 0.5000 0.5000 0.0000  4 Ir 2.60, 4 Au 2.60
Ir 0.2500 0.2500 0.7500  4 Mo 2.60
Ir 0.2500 0.7500 0.2500  4 Mo 2.60
Ir 0.7500 0.2500 0.2500  4 Mo 2.60
Ir 0.7500 0.7500 0.7500  4 Mo 2.60
Au 0.2500 0.2500 0.2500  4 Mo 2.60
Au 0.2500 0.7500 0.7500  4 Mo 2.60
Au 0.7500 0.2500 0.7500  4 Mo 2.60
Au 0.7500 0.7500 0.2500  4 Mo 2.60

Results
- ΔE_f: 0.55 eV per atom
- SG: No. 216
- Total energy: -57.829 eV/atom


Entry 5:
DFT (SCAN) results for a crystal of Nb2Ir2Au relaxed with PBEsol.

Unit cell a=7.5636 b=7.5636 c=2.9076 alpha=90.00 beta=90.00 gamma=90.00
Last column: nearest neighbours and their distance in Å.
Positions (direct):
Nb 0.1655 0.3345 0.0000  6 Ir 2.62-2.69, 2 Nb 2.91
Nb 0.3345 0.8345 0.0000  6 Ir 2.62-2.69, 2 Nb 2.91
Nb 0.6655 0.1655 0.0000  6 Ir 2.62-2.69, 2 Nb 2.91
Nb 0.8345 0.6655 0.0000  6 Ir 2.62-2.69, 2 Nb 2.91
Ir 0.1310 0.6310 0.5000  6 Nb 2.62-2.69, 3 Ir 2.80-2.91
Ir 0.3690 0.1310 0.5000  6 Nb 2.62-2.69, 3 Ir 2.80-2.91
Ir 0.6310 0.8690 0.5000  6 Nb 2.62-2.69, 3 Ir 2.80-2.91
Ir 0.8690 0.3690 0.5000  6 Nb 2.62-2.69, 3 Ir 2.80-2.91
Au 0.0000 0.0000 0.5000  2 Au 2.91, 4 Ir 2.96, 8 Nb 3.18
Au 0.5000 0.5000 0.5000  2 Au 2.91, 4 Ir 2.96, 8 Nb 3.18

Results
- ΔE_f: -0.49 eV per atom
- SG: No. 127
- Total energy: -56.017 eV/atom


Entry 6:
DFT (SCAN) results for a crystal of Nb3IrAu relaxed with PBEsol.

Unit cell a=4.7810 b=4.7810 c=4.7810 alpha=90.00 beta=90.00 gamma=90.00
Last column: nearest neighbours and their distance in Å.
Positions (direct):
Nb 0.0000 0.0000 0.5000  2 Ir 2.39
Nb 0.0000 0.5000 0.0000  2 Ir 2.39
Nb 0.5000 0.0000 0.0000  2 Ir 2.39
Ir 0.0000 0.0000 0.0000  6 Nb 2.39
Au 0.5000 0.5000 0.5000  12 Nb 3.38

Results
- ΔE_f: 0.79 eV per atom
- SG: No. 221
- Total energy: -47.135 eV/atom


Entry 7:
DFT (SCAN) results for a crystal of NiIrAu relaxed with PBEsol.

Unit cell a=2.7197 b=4.6290 c=13.5793 alpha=90.00 beta=90.00 gamma=90.00
Last column: nearest neighbours and their distance in Å.
Positions (direct):
Ni 0.0000 0.0000 0.0000  2 Ir 2.46, 2 Au 2.61, 6 Ni 2.68-2.72
Ni 0.0000 0.5000 0.5000  2 Ir 2.46, 2 Au 2.61, 6 Ni 2.68-2.72
Ni 0.5000 0.0000 0.5000  2 Ir 2.46, 2 Au 2.61, 6 Ni 2.68-2.72
Ni 0.5000 0.5000 0.0000  2 Ir 2.46, 2 Au 2.61, 6 Ni 2.68-2.72
Ir 0.0000 0.0000 0.3489  2 Ni 2.46, 6 Ir 2.68-2.72
Ir 0.0000 0.5000 0.8489  2 Ni 2.46, 6 Ir 2.68-2.72
Ir 0.5000 0.0000 0.8489  2 Ni 2.46, 6 Ir 2.68-2.72
Ir 0.5000 0.5000 0.3489  2 Ni 2.46, 6 Ir 2.68-2.72
Au 0.0000 0.0000 0.6641  2 Ni 2.61, 6 Au 2.68-2.72, 2 Ir 2.85
Au 0.0000 0.5000 0.1641  2 Ni 2.61, 6 Au 2.68-2.72, 2 Ir 2.85
Au 0.5000 0.0000 0.1641  2 Ni 2.61, 6 Au 2.68-2.72, 2 Ir 2.85
Au 0.5000 0.5000 0.6641  2 Ni 2.61, 6 Au 2.68-2.72, 2 Ir 2.85

Results
- ΔE_f: 0.28 eV per atom
- SG: No. 42
- Total energy: -51.864 eV/atom


Entry 8:
DFT (SCAN) results for a crystal of NiIr2Au relaxed with PBEsol.

Unit cell a=2.7136 b=3.6882 c=5.5677 alpha=90.00 beta=90.00 gamma=90.00
Last column: nearest neighbours and their distance in Å.
Positions (direct):
Ni 0.0000 0.0000 0.0000  8 Ir 2.62, 2 Ni 2.71, 2 Au 2.78
Ir 0.5000 0.5000 0.2280  3 Ir 2.54-2.71, 4 Ni 2.62, 4 Au 2.75
Ir 0.5000 0.5000 0.7720  3 Ir 2.54-2.71, 4 Ni 2.62, 4 Au 2.75
Au 0.0000 0.0000 0.5000  2 Au 2.71, 8 Ir 2.75, 2 Ni 2.78

Results
- ΔE_f: 0.35 eV per atom
- SG: No. 47
- Total energy: -56.537 eV/atom
- Offset from the most stable computed form: 0.079 eV/atom


Entry 9:
DFT (SCAN) results for a crystal of Ni6IrAu relaxed with PBEsol.

Unit cell a=6.2419 b=6.2419 c=10.1883 alpha=90.00 beta=90.00 gamma=109.41
Last column: nearest neighbours and their distance in Å.
Positions (direct):
Ni 0.0000 0.0000 0.0000  8 Ni 2.52, 4 Ir 2.55-2.57
Ni 0.0000 0.0000 0.5000  8 Ni 2.53, 2 Ir 2.54, 2 Au 2.58
Ni 0.1187 0.3722 0.1224  8 Ni 2.49-2.58, 3 Ir 2.52-2.55, 1 Au 2.59
Ni 0.1187 0.3722 0.8776  8 Ni 2.49-2.58, 3 Ir 2.52-2.55, 1 Au 2.59
Ni 0.1213 0.3684 0.3721  1 Ir 2.50, 8 Ni 2.52-2.61, 3 Au 2.56-2.58
Ni 0.1213 0.3684 0.6279  1 Ir 2.50, 8 Ni 2.52-2.61, 3 Au 2.56-2.58
Ni 0.2464 0.7536 0.2449  8 Ni 2.49-2.61, 2 Ir 2.50-2.51, 2 Au 2.58-2.60
Ni 0.2464 0.7536 0.7551  8 Ni 2.49-2.61, 2 Ir 2.50-2.51, 2 Au 2.58-2.60
Ni 0.3684 0.1213 0.3721  1 Ir 2.50, 8 Ni 2.52-2.61, 3 Au 2.56-2.58
Ni 0.3684 0.1213 0.6279  1 Ir 2.50, 8 Ni 2.52-2.61, 3 Au 2.56-2.58
Ni 0.3722 0.1187 0.1224  8 Ni 2.49-2.58, 3 Ir 2.52-2.55, 1 Au 2.59
Ni 0.3722 0.1187 0.8776  8 Ni 2.49-2.58, 3 Ir 2.52-2.55, 1 Au 2.59
Ni 0.5000 0.5000 0.0000  2 Ir 2.52, 2 Au 2.54, 8 Ni 2.57
Ni 0.5000 0.5000 0.5000  4 Au 2.51-2.56, 8 Ni 2.58
Ni 0.6278 0.8813 0.1224  8 Ni 2.49-2.58, 3 Ir 2.52-2.55, 1 Au 2.59
Ni 0.6278 0.8813 0.8776  8 Ni 2.49-2.58, 3 Ir 2.52-2.55, 1 Au 2.59
Ni 0.6316 0.8787 0.3721  1 Ir 2.50, 8 Ni 2.52-2.61, 3 Au 2.56-2.58
Ni 0.6316 0.8787 0.6279  1 Ir 2.50, 8 Ni 2.52-2.61, 3 Au 2.56-2.58
Ni 0.7536 0.2464 0.2449  8 Ni 2.49-2.61, 2 Ir 2.50-2.51, 2 Au 2.58-2.60
Ni 0.7536 0.2464 0.7551  8 Ni 2.49-2.61, 2 Ir 2.50-2.51, 2 Au 2.58-2.60
Ni 0.8787 0.6316 0.3721  1 Ir 2.50, 8 Ni 2.52-2.61, 3 Au 2.56-2.58
Ni 0.8787 0.6316 0.6279  1 Ir 2.50, 8 Ni 2.52-2.61, 3 Au 2.56-2.58
Ni 0.8813 0.6278 0.1224  8 Ni 2.49-2.58, 3 Ir 2.52-2.55, 1 Au 2.59
Ni 0.8813 0.6278 0.8776  8 Ni 2.49-2.58, 3 Ir 2.52-2.55, 1 Au 2.59
Ir 0.0000 0.0000 0.2505  12 Ni 2.50-2.55
Ir 0.0000 0.0000 0.7495  12 Ni 2.50-2.55
Ir 0.2522 0.7478 0.0000  12 Ni 2.50-2.57
Ir 0.7478 0.2522 0.0000  12 Ni 2.50-2.57
Au 0.2535 0.7465 0.5000  12 Ni 2.51-2.60
Au 0.5000 0.5000 0.2488  12 Ni 2.54-2.59
Au 0.5000 0.5000 0.7512  12 Ni 2.54-2.59
Au 0.7465 0.2535 0.5000  12 Ni 2.51-2.60

Results
- ΔE_f: 0.03 eV per atom
- SG: No. 65
- Total energy: -29.630 eV/atom


Entry 10:
DFT (SCAN) results for a crystal of NiIrAu2 relaxed with PBEsol.

Unit cell a=2.7590 b=4.6373 c=4.6492 alpha=90.00 beta=90.00 gamma=90.00
Last column: nearest neighbours and their distance in Å.
Positions (direct):
Ni 0.0000 0.0000 0.0000  4 Ir 2.70, 4 Au 2.70, 2 Ni 2.76
Ir 0.5000 0.5000 0.0000  4 Ni 2.70, 4 Au 2.70, 2 Ir 2.76
Au 0.0000 0.5000 0.5000  6 Au 2.70-2.76, 4 Ir 2.70
Au 0.5000 0.0000 0.5000  6 Au 2.70-2.76, 4 Ni 2.70

Results
- ΔE_f: 0.37 eV per atom
- SG: No. 47
- Total energy: -56.030 eV/atom
- Offset from the most stable computed form: 0.067 eV/atom


Entry 11:
DFT (SCAN) results for a crystal of NiIrAu2 relaxed with PBEsol.

Unit cell a=4.6304 b=4.6304 c=2.7670 alpha=90.00 beta=90.00 gamma=90.00
Last column: nearest neighbours and their distance in Å.
Positions (direct):
Ni 0.0000 0.0000 0.0000  8 Au 2.70, 2 Ni 2.77
Ir 0.5000 0.5000 0.0000  8 Au 2.70, 2 Ir 2.77
Au 0.0000 0.5000 0.5000  4 Ir 2.70, 4 Ni 2.70, 2 Au 2.77
Au 0.5000 0.0000 0.5000  4 Ir 2.70, 4 Ni 2.70, 2 Au 2.77

Results
- ΔE_f: 0.30 eV per atom
- SG: No. 123
- Total energy: -56.097 eV/atom
- Offset from the most stable computed form: 0.000 eV/atom


Entry 12:
DFT (SCAN) results for a crystal of NiIr2Au relaxed with PBEsol.

Unit cell a=3.8191 b=3.8191 c=7.6033 alpha=90.00 beta=90.00 gamma=90.00
Last column: nearest neighbours and their distance in Å.
Positions (direct):
Ni 0.0000 0.0000 0.0000  8 Ir 2.69-2.70, 4 Au 2.69
Ni 0.5000 0.5000 0.5000  8 Ir 2.69-2.70, 4 Au 2.69
Ir 0.0000 0.0000 0.5000  4 Ir 2.69, 4 Au 2.69, 4 Ni 2.70
Ir 0.0000 0.5000 0.7500  4 Ni 2.69, 4 Ir 2.69, 4 Au 2.70
Ir 0.5000 0.0000 0.2500  4 Ni 2.69, 4 Ir 2.69, 4 Au 2.70
Ir 0.5000 0.5000 0.0000  4 Ir 2.69, 4 Au 2.69, 4 Ni 2.70
Au 0.0000 0.5000 0.2500  4 Ni 2.69, 8 Ir 2.69-2.70
Au 0.5000 0.0000 0.7500  4 Ni 2.69, 8 Ir 2.69-2.70

Results
- ΔE_f: 0.27 eV per atom
- SG: No. 119
- Total energy: -56.616 eV/atom
- Offset from the most stable computed form: 0.000 eV/atom


Entry 13:
DFT (SCAN) results for a crystal of NiIrAu2 relaxed with PBEsol.

Unit cell a=3.8966 b=3.8966 c=7.7410 alpha=90.00 beta=90.00 gamma=90.00
Last column: nearest neighbours and their distance in Å.
Positions (direct):
Ni 0.0000 0.0000 0.0000  4 Ir 2.75, 8 Au 2.75-2.76
Ni 0.5000 0.5000 0.5000  4 Ir 2.75, 8 Au 2.75-2.76
Ir 0.0000 0.5000 0.7500  4 Ni 2.75, 8 Au 2.75-2.76
Ir 0.5000 0.0000 0.2500  4 Ni 2.75, 8 Au 2.75-2.76
Au 0.0000 0.0000 0.5000  4 Ir 2.75, 4 Au 2.75, 4 Ni 2.76
Au 0.0000 0.5000 0.2500  4 Ni 2.75, 4 Au 2.75, 4 Ir 2.76
Au 0.5000 0.0000 0.7500  4 Ni 2.75, 4 Au 2.75, 4 Ir 2.76
Au 0.5000 0.5000 0.0000  4 Ir 2.75, 4 Au 2.75, 4 Ni 2.76

Results
- ΔE_f: 0.33 eV per atom
- SG: No. 119
- Total energy: -56.071 eV/atom
- Offset from the most stable computed form: 0.027 eV/atom


Entry 14:
DFT (SCAN) results for a crystal of P2IrAuO relaxed with PBEsol.

Unit cell a=4.7261 b=4.7261 c=3.6778 alpha=90.00 beta=90.00 gamma=90.00
Last column: nearest neighbours and their distance in Å.
Positions (direct):
P 0.0000 0.5000 0.0000  2 Au 2.36
P 0.5000 0.0000 0.0000  2 Au 2.36
Ir 0.0000 0.0000 0.5000  8 P 2.99, 4 O 3.34
Au 0.5000 0.5000 0.0000  2 O 1.84
O 0.5000 0.5000 0.5000  2 Au 1.84

Results
- Energy relative to the elements, uncorrected: 1.288 eV/atom
- SG: No. 123
- Total energy: -32.169 eV/atom